DFT (PBE) results for a relaxed CaNd3Sm4S8 crystal.

Computed properties:
D(E_F) (states/eV per atom): 0.479
Formation energy (no corrections) (eV/atom): -2.027
Total DFT energy (no corrections) (eV/f.u.): -100.640

abc: 8.0726 8.0659 8.0725
angles: 120.03 120.00 90.00
Last column: nearest neighbours and their distance in Å.
Element x y z (fractional)
S: 0.7554 0.7519 0.0037  3 Sm 2.83-2.87, 1 Ca 2.83, 2 Nd 2.87
S: 0.2482 0.7519 0.0037  3 Sm 2.83-2.87, 1 Ca 2.83, 2 Nd 2.87
S: 0.2481 0.2443 0.4962  3 Sm 2.83, 3 Nd 2.87
S: 0.2446 0.2481 0.9963  3 Sm 2.83-2.87, 1 Ca 2.83, 2 Nd 2.87
S: 0.7518 0.2481 0.5035  3 Sm 2.83-2.87, 1 Ca 2.83, 2 Nd 2.87
S: 0.2482 0.7519 0.4965  3 Sm 2.83-2.87, 1 Ca 2.83, 2 Nd 2.87
S: 0.7518 0.2481 0.9963  3 Sm 2.83-2.87, 1 Ca 2.83, 2 Nd 2.87
S: 0.7519 0.7557 0.5038  3 Sm 2.83, 3 Nd 2.87
Nd: 0.5000 0.5000 0.5000  6 S 2.87
Nd: 0.5000 0.5000 0.0000  6 S 2.87
Nd: 0.0000 0.5000 0.5000  6 S 2.87
Sm: 0.5000 0.0000 0.5000  6 S 2.83
Sm: 0.0000 0.0000 0.0000  6 S 2.83
Sm: 0.0000 0.0000 0.5000  6 S 2.83
Sm: 0.5000 0.0000 0.0000  6 S 2.87
Ca: 0.0000 0.5000 0.0000  6 S 2.83



DFT (PBE) results for a relaxed Zr3Ni2Os crystal.

Computed properties:
D(E_F) (states/eV per atom): 1.036
Calculated formation energy (kJ/mol of atoms): -40
Total DFT energy (no corrections) (eV/f.u.): -50.909

abc: 3.2144 4.6099 7.3011
angles: 108.40 90.00 90.00
Last column: nearest neighbours and their distance in Å.
Element x y z (fractional)
Zr: 0.5000 0.5000 0.0000  4 Ni 2.72, 4 Os 2.81
Zr: 0.5000 0.1690 0.3381  6 Ni 2.81-2.88, 2 Os 2.84
Zr: 0.5000 0.8310 0.6619  6 Ni 2.81-2.88, 2 Os 2.84
Os: 0.0000 0.0000 0.0000  8 Zr 2.81-2.84
Ni: 0.0000 0.3416 0.6831  8 Zr 2.72-2.88
Ni: 0.0000 0.6584 0.3169  8 Zr 2.72-2.88



DFT (PBE) results for a relaxed Li3IrS crystal.

Computed properties:
D(E_F) (states/eV per atom): 0.697
Formation energy (no corrections) (eV/atom): 0.470
Total DFT energy (no corrections) (eV/f.u.): -16.378
E above lowest polymorph (eV per atom): 0.390

abc: 4.7119 4.7119 4.7119
angles: 90.00 90.00 90.00
Last column: nearest neighbours and their distance in Å.
Element x y z (fractional)
Li: 0.0000 0.5000 0.0000  2 Ir 2.36
Li: 0.5000 0.0000 0.0000  2 Ir 2.36
Li: 0.0000 0.0000 0.5000  2 Ir 2.36
S: 0.5000 0.5000 0.5000  12 Li 3.33
Ir: 0.0000 0.0000 0.0000  6 Li 2.36



DFT (PBE) results for a relaxed KLi2Ta crystal.

Computed properties:
D(E_F) (states/eV per atom): 1.131
Calculated formation energy (kJ/mol of atoms): 79
Total DFT energy (no corrections) (eV/f.u.): -13.498
E above lowest polymorph (eV per atom): 0.189

abc: 5.7121 5.7121 2.7510
angles: 90.00 90.00 90.44
Last column: nearest neighbours and their distance in Å.
Element x y z (fractional)
Li: 0.0000 0.0000 0.0000  2 Li 2.75
Li: 0.5000 0.5000 0.0000  2 Li 2.75
K: 0.0000 0.5000 0.5000  2 K 2.75
Ta: 0.5000 0.0000 0.5000  2 Ta 2.75



DFT (PBE) results for a relaxed TaSeBr2 crystal.

Computed properties:
D(E_F) (states/eV per atom): 0.210
Formation energy (no corrections) (eV/atom): -0.637
Total DFT energy (no corrections) (eV/f.u.): -21.233
E above lowest polymorph (eV per atom): 0.039

abc: 3.5103 7.7186 7.7217
angles: 37.47 90.00 90.00
Last column: nearest neighbours and their distance in Å.
Element x y z (fractional)
Ta: 0.5000 0.7500 0.7500  2 Se 2.48, 4 Br 2.64
Br: 0.0000 0.8852 0.8853  2 Ta 2.64
Br: 0.0000 0.6148 0.6147  2 Ta 2.64
Se: 0.5000 0.2500 0.2500  2 Ta 2.48



DFT (PBE) results for a relaxed ScBeNF2 crystal.

Computed properties:
Formation energy (no corrections) (eV/atom): -2.160
Total DFT energy (no corrections) (eV/f.u.): -32.925
E above lowest polymorph (eV per atom): 0.000

abc: 3.2375 3.2375 4.5610
angles: 90.00 90.00 90.00
Last column: nearest neighbours and their distance in Å.
Element x y z (fractional)
Be: 0.0000 0.0000 0.0000  4 F 1.62
Sc: 0.5000 0.5000 0.5000  4 N 2.29
N: 0.0000 0.0000 0.5000  2 Be 2.28, 4 Sc 2.29
F: 0.0000 0.5000 0.0000  2 Be 1.62
F: 0.5000 0.0000 0.0000  2 Be 1.62



DFT (PBE) results for a relaxed YPtAu2 crystal.

Computed properties:
D(E_F) (states/eV per atom): 0.241
Calculated formation energy (kJ/mol of atoms): -61
Total DFT energy (no corrections) (eV/f.u.): -21.609
E above lowest polymorph (eV per atom): 0.134

abc: 3.6987 3.8198 5.6290
angles: 90.00 90.00 90.00
Last column: nearest neighbours and their distance in Å.
Element x y z (fractional)
Au: 0.0000 0.0000 0.4911  2 Au 2.71-2.92, 4 Pt 2.98, 4 Y 3.03
Au: 0.0000 0.0000 0.0089  2 Au 2.71-2.92, 4 Pt 2.98, 4 Y 3.03
Y: 0.5000 0.5000 0.7500  2 Pt 2.81, 8 Au 3.03
Pt: 0.5000 0.5000 0.2500  2 Y 2.81, 8 Au 2.98



DFT (PBE) results for a relaxed La4SiPdBr2 crystal.

Computed properties:
D(E_F) (states/eV per atom): 0.937
Formation energy (no corrections) (eV/atom): -1.081
Total DFT energy (no corrections) (eV/f.u.): -42.316

abc: 4.2696 7.7492 7.6374
angles: 108.06 90.00 90.00
Last column: nearest neighbours and their distance in Å.
Element x y z (fractional)
La: 0.0000 0.2617 0.7832  2 Pd 2.97, 1 Si 2.99, 3 Br 3.25-3.26
La: 0.5000 0.2359 0.2243  2 Si 2.98, 1 Pd 3.05, 3 Br 3.19-3.24
La: 0.5000 0.7641 0.7757  2 Si 2.98, 1 Pd 3.05, 3 Br 3.19-3.24
La: 0.0000 0.7383 0.2168  2 Pd 2.97, 1 Si 2.99, 3 Br 3.25-3.26
Br: 0.0000 0.5000 0.5000  6 La 3.24-3.25
Br: 0.5000 0.0000 0.5000  6 La 3.19-3.26
Pd: 0.5000 0.5000 0.0000  6 La 2.97-3.05
Si: 0.0000 0.0000 0.0000  6 La 2.98-2.99



- Which of these has the highest total DFT energy (no corrections)?
  KLi2Ta



- Among the records above, which one has the highest total DFT energy (no corrections)?
  KLi2Ta